*A*
A plane-wave DFT calculation with PBE was carried out for a geometry-optimized GePtSeO structure.

Properties
Density = 8.262 g cm⁻³
Total magnetization = 0.00 μB/cell

a = 6.4379 Å, b = 8.3348 Å, c = 5.4341 Å
α = 90.00°, β = 90.00°, γ = 90.00°
Atoms (fractional coordinates):
1 Ge 0.0689 0.2146 0.0000
2 Ge 0.4311 0.2146 0.5000
3 Ge 0.5689 0.7854 0.0000
4 Ge 0.9311 0.7854 0.5000
5 Pt 0.2345 0.6497 0.0053
6 Pt 0.2655 0.6497 0.5053
7 Pt 0.7345 0.3503 0.0053
8 Pt 0.7655 0.3503 0.5053
9 Se 0.0354 0.1511 0.5089
10 Se 0.4646 0.1511 0.0089
11 Se 0.5354 0.8489 0.5089
12 Se 0.9646 0.8489 0.0089
13 O 0.0536 0.4328 0.0011
14 O 0.4464 0.4328 0.5011
15 O 0.5536 0.5672 0.0011
16 O 0.9464 0.5672 0.5011



*B*
A plane-wave DFT calculation with PBE was carried out for a geometry-optimized GePtSeO structure.

Properties
Density = 7.595 g cm⁻³
Total magnetization = 0.00 μB/cell

a = 3.7531 Å, b = 3.7531 Å, c = 11.2585 Å
α = 90.00°, β = 90.00°, γ = 90.00°
Atoms (fractional coordinates):
1 Ge 0.2500 0.2500 0.0939
2 Ge 0.7500 0.7500 0.9061
3 Pt 0.2500 0.7500 0.5000
4 Pt 0.7500 0.2500 0.5000
5 Se 0.2500 0.2500 0.6564
6 Se 0.7500 0.7500 0.3436
7 O 0.2500 0.2500 0.9342
8 O 0.7500 0.7500 0.0658



*C*
A plane-wave DFT calculation with PBE was carried out for a geometry-optimized GePtSeO structure.

Properties
Density = 8.718 g cm⁻³
Total magnetization = 0.00 μB/cell

a = 5.7467 Å, b = 9.7402 Å, c = 4.9368 Å
α = 90.00°, β = 90.00°, γ = 90.00°
Atoms (fractional coordinates):
1 Ge 0.0805 0.1098 0.0000
2 Ge 0.4195 0.1098 0.5000
3 Ge 0.5805 0.8902 0.0000
4 Ge 0.9195 0.8902 0.5000
5 Pt 0.0958 0.3537 0.0332
6 Pt 0.4042 0.3537 0.5332
7 Pt 0.5958 0.6463 0.0332
8 Pt 0.9042 0.6463 0.5332
9 Se 0.0561 0.6166 0.0356
10 Se 0.4439 0.6166 0.5356
11 Se 0.5561 0.3834 0.0356
12 Se 0.9439 0.3834 0.5356
13 O 0.1341 0.0212 0.6560
14 O 0.3659 0.0212 0.1560
15 O 0.6341 0.9788 0.6560
16 O 0.8659 0.9788 0.1560



*D*
A plane-wave DFT calculation with PBE was carried out for a geometry-optimized GePtSeO structure.

Properties
Density = 7.694 g cm⁻³
Total magnetization = 0.00 μB/cell

a = 4.5140 Å, b = 4.5140 Å, c = 7.6829 Å
α = 90.00°, β = 90.00°, γ = 90.00°
Atoms (fractional coordinates):
1 Ge 0.2500 0.2500 0.1602
2 Ge 0.7500 0.7500 0.8398
3 Pt 0.2500 0.2500 0.6514
4 Pt 0.7500 0.7500 0.3486
5 Se 0.2500 0.7500 0.5000
6 Se 0.7500 0.2500 0.5000
7 O 0.2500 0.2500 0.9398
8 O 0.7500 0.7500 0.0602



The structures above, arranged from the most stable to the least stable: *C*, *B*, *A*, *D*.